This record from the Alexandria database describes a relaxed Sc4Bi5C crystal. The functional is PBE.

The calculated total energy is -116.22 eV per cell. Its energy relative to the elements is -0.42 eV per atom.

It has space group C2/m (No. 12), with a = 17.768 Å, b = 3.488 Å, c = 8.420 Å, α = 90.00°, β = 99.09° and γ = 90.00°. The inequivalent atoms are Sc at (0.020, 0.000, 0.330), Sc at (0.125, 0.500, 0.603), Bi at (0.000, 0.500, 0.000), Bi at (0.150, 0.000, 0.913), Bi at (0.197, 0.000, 0.344) and C at (0.000, 0.500, 0.500).

---

This record from the Alexandria database describes a relaxed LiCa3Pb crystal. The functional is PBE.

The calculated total energy is -51.28 eV per cell. Its energy relative to the elements is -0.24 eV per atom. For the relative energy among the computed polymorphs, the calculation gives 6.9 kJ/mol of atoms.

It has space group P2_1/c (No. 14), with a = 8.592 Å, b = 6.629 Å, c = 12.540 Å, α = 90.00°, β = 114.67° and γ = 90.00°. The inequivalent atoms are Li at (0.026, 0.214, 0.445), Ca at (0.103, 0.740, 0.347), Ca at (0.319, 0.505, 0.662), Ca at (0.390, 0.242, 0.428) and Pb at (0.293, 0.002, 0.634).

---

- Among the records above, which one has the highest calculated total energy?
  LiCa3Pb